An optimized crystal structure of Tl4CoTc, computed with PBE.

Calculated values
Theoretical density ... 10.15 g cm⁻³
Spin magnetization ... 5.7 μB/f.u.
Calculated formation energy ... 1.2838 eV per atom
Electronic total energy ... -3.206 eV/atom

Cell lengths 6.087, 6.087, 6.087 Å; angles 60.00, 60.00, 60.00 degrees
Last column: magnetic moment on the atom in μB.
Fractional positions:
1 Tl 0.375 0.375 0.875  0.00
2 Tl 0.875 0.375 0.375  0.00
3 Tl 0.375 0.875 0.375  0.00
4 Co 0.750 0.750 0.750  2.10
5 Tc 0.000 0.000 0.000  3.23
6 Tl 0.375 0.375 0.375  0.00

An optimized crystal structure of Tl2CoTc, computed with PBE.

Calculated values
Theoretical density ... 13.31 g cm⁻³
Spin magnetization ... 1.0 μB/f.u.
Calculated formation energy ... 0.7503 eV per atom
Electronic total energy ... -4.801 eV/atom

Cell lengths 4.577, 4.576, 3.370 Å; angles 90.00, 90.00, 90.00 degrees
Last column: magnetic moment on the atom in μB.
Fractional positions:
1 Co 0.500 0.000 0.500  1.06
2 Tc 0.000 0.500 0.500  0.04
3 Tl 0.000 0.000 0.000  -0.02
4 Tl 0.500 0.500 0.000  -0.02

An optimized crystal structure of Tl2CoTc, computed with PBE.

Calculated values
Theoretical density ... 13.34 g cm⁻³
Spin magnetization ... 0.7 μB/f.u.
Calculated formation energy ... 0.8070 eV per atom
Electronic total energy ... -4.744 eV/atom

Cell lengths 4.635, 4.635, 4.635 Å; angles 60.00, 60.00, 60.00 degrees
Last column: magnetic moment on the atom in μB.
Fractional positions:
1 Tl 0.750 0.750 0.750  -0.01
2 Tc 0.500 0.500 0.500  0.14
3 Tl 0.250 0.250 0.250  -0.01
4 Co 0.000 0.000 0.000  0.63

An optimized crystal structure of Tl2CoTc, computed with PBE.

Calculated values
Theoretical density ... 12.11 g cm⁻³
Spin magnetization ... 1.9 μB/f.u.
Calculated formation energy ... 0.6414 eV per atom
Electronic total energy ... -4.910 eV/atom

Cell lengths 4.135, 3.644, 5.465 Å; angles 70.43, 90.00, 90.00 degrees
Last column: magnetic moment on the atom in μB.
Fractional positions:
1 Tl 0.500 0.283 0.311  -0.01
2 Tl 0.000 0.971 0.933  -0.02
3 Co 0.000 0.683 0.509  1.39
4 Tc 0.500 0.564 0.747  0.47

An optimized crystal structure of TlCo3Tc, computed with PBE.

Calculated values
Theoretical density ... 8.78 g cm⁻³
Spin magnetization ... 2.6 μB/f.u.
Calculated formation energy ... 1.2983 eV per atom
Electronic total energy ... -5.512 eV/atom

Cell lengths 4.492, 4.492, 4.492 Å; angles 90.00, 90.00, 90.00 degrees
Last column: magnetic moment on the atom in μB.
Fractional positions:
1 Tc 0.000 0.000 0.000  0.06
2 Co 0.500 0.000 0.000  0.71
3 Co 0.000 0.500 0.000  0.82
4 Co 0.000 0.000 0.500  1.04
5 Tl 0.500 0.500 0.500  0.01

An optimized crystal structure of Tl2CoTc, computed with PBE.

Calculated values
Theoretical density ... 12.53 g cm⁻³
Spin magnetization ... 2.0 μB/f.u.
Calculated formation energy ... 0.6748 eV per atom
Electronic total energy ... -4.876 eV/atom

Cell lengths 5.619, 5.619, 4.821 Å; angles 70.21, 70.21, 31.76 degrees
Last column: magnetic moment on the atom in μB.
Fractional positions:
1 Co 0.462 0.462 0.481  1.40
2 Tl 0.235 0.235 0.305  -0.02
3 Tc 0.783 0.783 0.772  0.62
4 Tl 0.020 0.020 0.942  -0.01

An optimized crystal structure of Tl2CoTc, computed with PBE.

Calculated values
Theoretical density ... 12.76 g cm⁻³
Spin magnetization ... 2.1 μB/f.u.
Calculated formation energy ... 0.8523 eV per atom
Electronic total energy ... -4.699 eV/atom

Cell lengths 5.408, 5.408, 5.408 Å; angles 145.58, 123.38, 67.98 degrees
Last column: magnetic moment on the atom in μB.
Fractional positions:
1 Tl 0.516 0.516 0.000  -0.03
2 Tl 0.984 0.984 0.000  -0.03
3 Tc 0.250 0.750 0.500  1.01
4 Co 0.750 0.250 0.500  1.09

An optimized crystal structure of Tl2CoTc, computed with PBE.

Calculated values
Theoretical density ... 12.97 g cm⁻³
Spin magnetization ... 1.3 μB/f.u.
Calculated formation energy ... 0.7740 eV per atom
Electronic total energy ... -4.777 eV/atom

Cell lengths 8.788, 8.788, 8.788 Å; angles 20.44, 20.44, 20.44 degrees
Last column: magnetic moment on the atom in μB.
Fractional positions:
1 Tl 0.996 0.996 0.996  -0.02
2 Tl 0.504 0.504 0.504  -0.02
3 Co 0.250 0.250 0.250  1.09
4 Tc 0.750 0.750 0.750  0.26